This record from Alexandria via LeMat-Bulk describes a geometry-optimized Nd4AsPtS2 structure. The functional is PBE.

Summary:
As for the uncorrected formation energy: -1.619 eV/atom.

Cell lengths 7.2493, 4.1344, 7.2637 Å; angles 90.00, 109.17, 90.00 degrees
Fractional coordinates of all 8 atoms:
Nd 0.2475 0.0000 0.2505
Nd 0.2496 0.5000 0.7447
Nd 0.7504 0.5000 0.2553
Nd 0.7525 0.0000 0.7495
As 0.5000 0.0000 0.0000
Pt 0.0000 0.5000 0.0000
S 0.0000 0.0000 0.5000
S 0.5000 0.5000 0.5000